The following is a DFT calculation (PBE-GGA) of an optimized crystal structure of KReB2.

theoretical density = 7.5 g/cm³
crystal system = cubic
raw total energy = -74.55 eV/cell
magnetization = 3.7 Bohr magnetons per cell
relative energy among the computed polymorphs = 1.446 eV per atom

a = 6.0160 Å, b = 6.0160 Å, c = 6.0160 Å
α = 90.00°, β = 90.00°, γ = 90.00°
With the nearest neighbours (Å) after each atom.
Space group Fm-3m (No. 225)
Symmetry-distinct sites (fractional):
K: 0.0000 0.0000 0.0000 [4 per cell]  8 B 2.61
Re: 0.0000 0.0000 0.5000 [4 per cell]  8 B 2.61
B: 0.2500 0.2500 0.2500 [8 per cell]  4 K 2.61, 4 Re 2.61